# 1
An optimized crystal structure of Al6InAg12, computed with PBE.

Unit cell a=7.6977 b=7.6977 c=7.6977 alpha=109.47 beta=109.47 gamma=109.47
Sites, in units of the cell vectors:
Ag  0.4488  0.1761  0.2727
Al  0.5000  0.1493  0.6493
Al  0.6493  0.5000  0.1493
Al  0.1493  0.6493  0.5000
Ag  0.0966  0.8239  0.2727
Al  0.5000  0.8507  0.3507
Ag  0.2727  0.0966  0.8239
Ag  0.2727  0.4488  0.1761
Al  0.3507  0.5000  0.8507
Ag  0.1761  0.7273  0.9034
Ag  0.9034  0.1761  0.7273
Al  0.8507  0.3507  0.5000
Ag  0.7273  0.5512  0.8239
Ag  0.5512  0.8239  0.7273
Ag  0.7273  0.9034  0.1761
In  0.0000  0.0000  0.0000
Ag  0.1761  0.2727  0.4488
Ag  0.8239  0.7273  0.5512
Ag  0.8239  0.2727  0.0966

Summary:
Formation energy in kJ/mol of atoms: 9.9
SG: No. 204



# 2
An optimized crystal structure of PrEuLuSn, computed with PBE.

Unit cell a=5.5124 b=5.5124 c=5.5124 alpha=60.00 beta=60.00 gamma=60.00
Each line ends with the local moment (μB).
Sites, in units of the cell vectors:
Sn  0.2500  0.2500  0.2500  0.03
Pr  0.5000  0.5000  0.5000  -0.17
Eu  0.7500  0.7500  0.7500  -6.97
Lu  0.0000  0.0000  0.0000  -0.20

Summary:
Formation energy in kJ/mol of atoms: -21.2
SG: No. 216